No. 1
Entry from Alexandria via LeMat-Bulk: a relaxed BeOsW4 crystal (GGA-PBE).

Values from the calculation:
Calculated formation energy: 17.52 kcal/mol of atoms
Total magnetization: 0.00 μB per atom
Space group: F-43m, No. 216
Mass density: 15.8 g/cm³
V: 98.19 Å³/cell

a = 5.178 Å, b = 5.178 Å, c = 5.178 Å
α = 60.00°, β = 60.00°, γ = 60.00°
Fractional coordinates of all 6 atoms:
W (0.871, 0.376, 0.376)
W (0.376, 0.376, 0.871)
W (0.376, 0.376, 0.376)
W (0.376, 0.871, 0.376)
Be (0.750, 0.750, 0.750)
Os (0.000, 0.000, 0.000)

***

No. 2
Entry from Alexandria via LeMat-Bulk: a relaxed Ca3Tb3ErSe8 crystal (GGA-PBE).

Values from the calculation:
Total energy: -81.18 eV per formula unit
Total magnetization: 0.00 μB per atom
Space group: R-3m, No. 166
Mass density: 5.8 g/cm³
V: 399.80 Å³/cell

a = 8.211 Å, b = 8.212 Å, c = 8.328 Å
α = 119.55°, β = 90.00°, γ = 120.00°
Fractional coordinates of all 15 atoms:
Er (0.000, 0.000, 0.500)
Se (0.250, 0.005, 0.259)
Se (0.246, 0.492, 0.741)
Se (0.246, 0.995, 0.741)
Se (0.251, 0.502, 0.254)
Se (0.749, 0.498, 0.746)
Se (0.754, 0.005, 0.259)
Se (0.754, 0.508, 0.259)
Se (0.750, 0.995, 0.741)
Tb (0.500, 0.000, 0.500)
Tb (0.500, 0.500, 0.500)
Tb (0.000, 0.500, 0.500)
Ca (0.000, 0.000, 0.000)
Ca (0.000, 0.500, 0.000)
Ca (0.500, 0.500, 0.000)